(1)
This record from Alexandria via LeMat-Bulk describes crystalline Sr2HoPbS4 at its relaxed geometry. The functional is PBE-GGA.

Geometry as CIF:
```
data_Sr2HoPbS4
_chemical_formula_sum 'Sr2 Ho1 Pb1 S4'
_symmetry_space_group_name_H-M 'P 1 2/m 1'
_symmetry_Int_Tables_number 10
_symmetry_space_group_name_Hall '-P 2y'
_cell_length_a 7.198
_cell_length_b 4.141
_cell_length_c 7.276
_cell_angle_alpha 90.00
_cell_angle_beta 109.31
_cell_angle_gamma 90.00
loop_
_atom_site_label
_atom_site_type_symbol
_atom_site_fract_x
_atom_site_fract_y
_atom_site_fract_z
_atom_site_occupancy
Sr1 Sr 0.000 0.000 0.000 1
Sr2 Sr 0.000 0.500 0.500 1
Ho1 Ho 0.500 0.000 0.500 1
Pb1 Pb 0.500 0.500 0.000 1
S1 S 0.261 0.000 0.738 1
S2 S 0.268 0.500 0.269 1
```

Values from the calculation:
formation energy from raw total energies	-1.631	eV per atom
total magnetic moment	0.00	μB per formula unit
Fermi-level density of states	3.115	states/eV per cell

---

(2)
This record from Alexandria via LeMat-Bulk describes crystalline Rb4SmU3Te8 at its relaxed geometry. The functional is PBE-GGA.

Geometry as CIF:
```
data_Rb4SmU3Te8
_chemical_formula_sum 'Rb12 Sm3 U9 Te24'
_symmetry_space_group_name_H-M 'R -3 m'
_symmetry_Int_Tables_number 166
_symmetry_space_group_name_Hall '-R 3 2"'
_cell_length_a 9.1099
_cell_length_b 9.1099
_cell_length_c 25.8225
_cell_angle_alpha 90.00
_cell_angle_beta 90.00
_cell_angle_gamma 120.00
loop_
_atom_site_label
_atom_site_type_symbol
_atom_site_fract_x
_atom_site_fract_y
_atom_site_fract_z
_atom_site_occupancy
Rb1 Rb 0.0000 0.0000 0.0000 1
Rb2 Rb 0.0000 0.5000 0.0000 1
Sm1 Sm 0.0000 0.0000 0.5000 1
U1 U 0.0000 0.5000 0.5000 1
Te1 Te 0.0000 0.0000 0.2339 1
Te2 Te 0.0016 0.5008 0.7656 1
```

Values from the calculation:
formation energy from raw total energies	-0.970	eV per atom
total magnetic moment	9.01	μB per formula unit
Fermi-level density of states	72.532	states/eV per cell

---

(3)
This record from Alexandria via LeMat-Bulk describes crystalline HoErPa at its relaxed geometry. The functional is PBE-GGA.

Geometry as CIF:
```
data_HoErPa
_chemical_formula_sum 'Ho2 Er2 Pa2'
_symmetry_space_group_name_H-M 'P 6/m m m'
_symmetry_Int_Tables_number 191
_symmetry_space_group_name_Hall '-P 6 2'
_cell_length_a 5.4104
_cell_length_b 5.4104
_cell_length_c 6.7731
_cell_angle_alpha 90.00
_cell_angle_beta 90.00
_cell_angle_gamma 120.00
loop_
_atom_site_label
_atom_site_type_symbol
_atom_site_fract_x
_atom_site_fract_y
_atom_site_fract_z
_atom_site_occupancy
Ho1 Ho 0.3333 0.6667 0.0000 1
Er1 Er 0.0000 0.0000 0.2613 1
Pa1 Pa 0.3333 0.6667 0.5000 1
```

Values from the calculation:
energy relative to the lowest polymorph listed for this composition	90.3	meV per atom
E_form	0.1989	eV per atom
total magnetic moment	0.69	μB per formula unit
Fermi-level density of states	13.037	states/eV per cell

---

(4)
This record from Alexandria via LeMat-Bulk describes crystalline Tm3GeRu at its relaxed geometry. The functional is PBE-GGA.

Geometry as CIF:
```
data_Tm3GeRu
_chemical_formula_sum 'Tm12 Ge4 Ru4'
_symmetry_space_group_name_H-M 'C 1 2/m 1'
_symmetry_Int_Tables_number 12
_symmetry_space_group_name_Hall '-C 2y'
_cell_length_a 13.708
_cell_length_b 4.325
_cell_length_c 8.006
_cell_angle_alpha 90.00
_cell_angle_beta 94.09
_cell_angle_gamma 90.00
loop_
_atom_site_label
_atom_site_type_symbol
_atom_site_fract_x
_atom_site_fract_y
_atom_site_fract_z
_atom_site_occupancy
Tm1 Tm 0.047 0.000 0.306 1
Tm2 Tm 0.113 0.500 0.940 1
Tm3 Tm 0.239 0.000 0.693 1
Ge1 Ge 0.096 0.500 0.564 1
Ru1 Ru 0.194 0.000 0.092 1
```

Values from the calculation:
E_form	-0.5149	eV per atom
total magnetic moment	0.00	μB per formula unit
Fermi-level density of states	13.443	states/eV per cell

---

(5)
This record from Alexandria via LeMat-Bulk describes crystalline Tb5NdSc3 at its relaxed geometry. The functional is PBE-GGA.

Geometry as CIF:
```
data_Tb5NdSc3
_chemical_formula_sum 'Tb20 Nd4 Sc12'
_symmetry_space_group_name_H-M 'C 1 2/m 1'
_symmetry_Int_Tables_number 12
_symmetry_space_group_name_Hall '-C 2y'
_cell_length_a 13.609
_cell_length_b 10.710
_cell_length_c 10.460
_cell_angle_alpha 90.00
_cell_angle_beta 125.37
_cell_angle_gamma 90.00
loop_
_atom_site_label
_atom_site_type_symbol
_atom_site_fract_x
_atom_site_fract_y
_atom_site_fract_z
_atom_site_occupancy
Tb1 Tb 0.000 0.221 0.000 1
Tb2 Tb 0.101 0.234 0.737 1
Tb3 Tb 0.154 0.500 0.592 1
Tb4 Tb 0.200 0.000 0.012 1
Nd1 Nd 0.235 0.500 0.332 1
Sc1 Sc 0.000 0.000 0.500 1
Sc2 Sc 0.000 0.500 0.000 1
Sc3 Sc 0.027 0.500 0.763 1
Sc4 Sc 0.071 0.000 0.259 1
```

Values from the calculation:
E_form	0.5607	eV per atom
total magnetic moment	0.00	μB per formula unit
Fermi-level density of states	55.868	states/eV per cell

---

(6)
This record from Alexandria via LeMat-Bulk describes crystalline Y3Au5 at its relaxed geometry. The functional is PBE-GGA.

Geometry as CIF:
```
data_Y3Au5
_chemical_formula_sum 'Y6 Au10'
_symmetry_space_group_name_H-M 'P -1'
_symmetry_Int_Tables_number 2
_symmetry_space_group_name_Hall '-P 1'
_cell_length_a 6.914
_cell_length_b 7.325
_cell_length_c 8.496
_cell_angle_alpha 82.04
_cell_angle_beta 66.05
_cell_angle_gamma 69.79
loop_
_atom_site_label
_atom_site_type_symbol
_atom_site_fract_x
_atom_site_fract_y
_atom_site_fract_z
_atom_site_occupancy
Y1 Y 0.037 0.243 0.000 1
Y2 Y 0.230 0.500 0.540 1
Y3 Y 0.338 0.000 0.327 1
Au1 Au 0.002 0.183 0.662 1
Au2 Au 0.223 0.425 0.189 1
Au3 Au 0.334 0.817 0.664 1
Au4 Au 0.353 0.856 0.001 1
Au5 Au 0.411 0.426 0.812 1
```

Values from the calculation:
energy relative to the lowest polymorph listed for this composition	50.7	meV per atom
E_form	-0.7619	eV per atom
total magnetic moment	0.00	μB per formula unit
Fermi-level density of states	9.391	states/eV per cell

---

(7)
This record from Alexandria via LeMat-Bulk describes crystalline Rb3Ac2PaTe6 at its relaxed geometry. The functional is PBE-GGA.

Geometry as CIF:
```
data_Rb3Ac2PaTe6
_chemical_formula_sum 'Rb6 Ac4 Pa2 Te12'
_symmetry_space_group_name_H-M 'C 1 2/m 1'
_symmetry_Int_Tables_number 12
_symmetry_space_group_name_Hall '-C 2y'
_cell_length_a 8.256
_cell_length_b 14.296
_cell_length_c 9.041
_cell_angle_alpha 90.00
_cell_angle_beta 107.78
_cell_angle_gamma 90.00
loop_
_atom_site_label
_atom_site_type_symbol
_atom_site_fract_x
_atom_site_fract_y
_atom_site_fract_z
_atom_site_occupancy
Rb1 Rb 0.000 0.000 0.000 1
Rb2 Rb 0.000 0.330 0.000 1
Ac1 Ac 0.000 0.166 0.500 1
Pa1 Pa 0.000 0.500 0.500 1
Te1 Te 0.229 0.341 0.710 1
Te2 Te 0.246 0.500 0.289 1
```

Values from the calculation:
formation energy from raw total energies	-1.269	eV per atom
total magnetic moment	1.91	μB per formula unit
Fermi-level density of states	16.809	states/eV per cell

---

(8)
This record from Alexandria via LeMat-Bulk describes crystalline ScP2IO at its relaxed geometry. The functional is PBE-GGA.

Geometry as CIF:
```
data_ScP2IO
_chemical_formula_sum 'Sc1 P2 I1 O1'
_symmetry_space_group_name_H-M 'P 4/m m m'
_symmetry_Int_Tables_number 123
_symmetry_space_group_name_Hall '-P 4 2'
_cell_length_a 5.082
_cell_length_b 5.082
_cell_length_c 3.950
_cell_angle_alpha 90.00
_cell_angle_beta 90.00
_cell_angle_gamma 90.00
loop_
_atom_site_label
_atom_site_type_symbol
_atom_site_fract_x
_atom_site_fract_y
_atom_site_fract_z
_atom_site_occupancy
Sc1 Sc 0.000 0.000 0.000 1
P1 P 0.000 0.500 0.500 1
I1 I 0.500 0.500 0.500 1
O1 O 0.500 0.500 0.000 1
```

Values from the calculation:
energy relative to the lowest polymorph listed for this composition	579.1	meV per atom
formation energy from raw total energies	0.352	eV per atom
total magnetic moment	0.00	μB per formula unit
Fermi-level density of states	0.904	states/eV per cell

---

(9)
This record from Alexandria via LeMat-Bulk describes crystalline RbCd2AgPb at its relaxed geometry. The functional is PBE-GGA.

Geometry as CIF:
```
data_RbCd2AgPb
_chemical_formula_sum 'Rb1 Cd2 Ag1 Pb1'
_symmetry_space_group_name_H-M 'P 4/m m m'
_symmetry_Int_Tables_number 123
_symmetry_space_group_name_Hall '-P 4 2'
_cell_length_a 5.499
_cell_length_b 5.499
_cell_length_c 5.590
_cell_angle_alpha 90.00
_cell_angle_beta 90.00
_cell_angle_gamma 90.00
loop_
_atom_site_label
_atom_site_type_symbol
_atom_site_fract_x
_atom_site_fract_y
_atom_site_fract_z
_atom_site_occupancy
Rb1 Rb 0.000 0.000 0.000 1
Cd1 Cd 0.000 0.500 0.500 1
Ag1 Ag 0.500 0.500 0.500 1
Pb1 Pb 0.500 0.500 0.000 1
```

Values from the calculation:
E_form	0.0950	eV per atom
total magnetic moment	0.00	μB per formula unit
Fermi-level density of states	2.142	states/eV per cell

---

(10)
This record from Alexandria via LeMat-Bulk describes crystalline CsSmFe2Cl8 at its relaxed geometry. The functional is PBE-GGA.

Geometry as CIF:
```
data_CsSmFe2Cl8
_chemical_formula_sum 'Cs2 Sm2 Fe4 Cl16'
_symmetry_space_group_name_H-M 'C 1 2/m 1'
_symmetry_Int_Tables_number 12
_symmetry_space_group_name_Hall '-C 2y'
_cell_length_a 10.874
_cell_length_b 7.435
_cell_length_c 10.294
_cell_angle_alpha 90.00
_cell_angle_beta 96.02
_cell_angle_gamma 90.00
loop_
_atom_site_label
_atom_site_type_symbol
_atom_site_fract_x
_atom_site_fract_y
_atom_site_fract_z
_atom_site_occupancy
Cs1 Cs 0.000 0.000 0.000 1
Sm1 Sm 0.000 0.000 0.500 1
Fe1 Fe 0.120 0.500 0.291 1
Cl1 Cl 0.010 0.250 0.695 1
Cl2 Cl 0.189 0.500 0.096 1
Cl3 Cl 0.249 0.500 0.485 1
```

Values from the calculation:
formation energy from raw total energies	-1.423	eV per atom
total magnetic moment	8.00	μB per formula unit
Fermi-level density of states	25.909	states/eV per cell

---

(11)
This record from Alexandria via LeMat-Bulk describes crystalline LaCr2Mo at its relaxed geometry. The functional is PBE-GGA.

Geometry as CIF:
```
data_LaCr2Mo
_chemical_formula_sum 'La2 Cr4 Mo2'
_symmetry_space_group_name_H-M 'C 1 2/m 1'
_symmetry_Int_Tables_number 12
_symmetry_space_group_name_Hall '-C 2y'
_cell_length_a 9.062
_cell_length_b 3.182
_cell_length_c 5.812
_cell_angle_alpha 90.00
_cell_angle_beta 108.89
_cell_angle_gamma 90.00
loop_
_atom_site_label
_atom_site_type_symbol
_atom_site_fract_x
_atom_site_fract_y
_atom_site_fract_z
_atom_site_occupancy
La1 La 0.000 0.000 0.000 1
Cr1 Cr 0.220 0.000 0.618 1
Mo1 Mo 0.000 0.500 0.500 1
```

Values from the calculation:
energy relative to the lowest polymorph listed for this composition	157.2	meV per atom
E_form	0.5851	eV per atom
total magnetic moment	0.00	μB per formula unit
Fermi-level density of states	9.803	states/eV per cell

---

(12)
This record from Alexandria via LeMat-Bulk describes crystalline Mg3Al2 at its relaxed geometry. The functional is PBE-GGA.

Geometry as CIF:
```
data_Mg3Al2
_chemical_formula_sum 'Mg18 Al12'
_symmetry_space_group_name_H-M 'R -3 c'
_symmetry_Int_Tables_number 167
_symmetry_space_group_name_Hall '-R 3 2"c'
_cell_length_a 8.3439
_cell_length_b 8.3439
_cell_length_c 10.6340
_cell_angle_alpha 90.00
_cell_angle_beta 90.00
_cell_angle_gamma 120.00
loop_
_atom_site_label
_atom_site_type_symbol
_atom_site_fract_x
_atom_site_fract_y
_atom_site_fract_z
_atom_site_occupancy
Mg1 Mg 0.0000 0.3191 0.2500 1
Al1 Al 0.0000 0.0000 0.1240 1
```

Values from the calculation:
energy relative to the lowest polymorph listed for this composition	0.0	meV per atom
E_form	0.0819	eV per atom
total magnetic moment	0.00	μB per formula unit
Fermi-level density of states	15.209	states/eV per cell